The following is a DFT calculation (PBE) of Sn3Br7 after structural relaxation.

abc: 10.349 10.349 6.993
angles: 90.00 90.00 120.00
Fractional coordinates of all 20 atoms:
Sn 0.191 0.381 0.000
Sn 0.191 0.809 0.000
Sn 0.381 0.191 0.500
Sn 0.619 0.809 0.000
Sn 0.809 0.191 0.500
Sn 0.809 0.619 0.500
Br 0.085 0.542 0.774
Br 0.128 0.255 0.402
Br 0.128 0.872 0.402
Br 0.255 0.128 0.902
Br 0.333 0.667 0.216
Br 0.458 0.542 0.774
Br 0.458 0.915 0.774
Br 0.542 0.085 0.274
Br 0.542 0.458 0.274
Br 0.667 0.333 0.716
Br 0.745 0.872 0.402
Br 0.872 0.128 0.902
Br 0.872 0.745 0.902
Br 0.915 0.458 0.274

Results
SG: P6_3mc
formation energy from raw total energies: -58.42 kJ per mole of atoms

=====

The following is a DFT calculation (PBE) of Eu2IrCl after structural relaxation.

abc: 3.523 3.523 7.799
angles: 90.00 90.00 90.00
Fractional coordinates of all 4 atoms:
Eu 0.000 0.000 0.222
Eu 0.000 0.000 0.778
Ir 0.500 0.500 0.000
Cl 0.500 0.500 0.500

Results
polymorph energy (0 for the lowest one): 1 kJ/mol of formula units
SG: P4/mmm
formation energy from raw total energies: -98.86 kJ per mole of atoms

=====

The following is a DFT calculation (PBE) of Tb2Dy3Ho6Sc after structural relaxation.

abc: 6.081 6.081 11.646
angles: 94.97 94.97 119.96
Fractional coordinates of all 12 atoms:
Tb 0.166 0.834 0.000
Tb 0.834 0.166 0.000
Dy 0.000 0.000 0.500
Dy 0.334 0.666 0.500
Dy 0.666 0.334 0.500
Ho 0.087 0.418 0.752
Ho 0.251 0.251 0.248
Ho 0.418 0.087 0.752
Ho 0.582 0.913 0.248
Ho 0.749 0.749 0.752
Ho 0.913 0.582 0.248
Sc 0.500 0.500 0.000

Results
SG: C2/m
energy relative to the elements: 0.313 eV/f.u.

=====

The following is a DFT calculation (PBE) of Th2Ni3As4Ru after structural relaxation.

abc: 4.264 4.264 9.527
angles: 90.00 90.00 90.00
Fractional coordinates of all 10 atoms:
Th 0.000 0.500 0.249
Th 0.500 0.000 0.751
Ni 0.000 0.000 0.000
Ni 0.000 0.500 0.618
Ni 0.500 0.000 0.382
As 0.000 0.000 0.500
As 0.000 0.500 0.865
As 0.500 0.000 0.135
As 0.500 0.500 0.500
Ru 0.500 0.500 0.000

Results
SG: P-4m2
energy relative to the elements: -7.822 eV/f.u.

=====

The following is a DFT calculation (PBE) of NaNd2Hg3 after structural relaxation.

abc: 5.333 5.333 13.138
angles: 90.00 90.00 120.00
Fractional coordinates of all 12 atoms:
Na 0.333 0.667 0.165
Na 0.667 0.333 0.835
Nd 0.000 0.000 0.000
Nd 0.000 0.000 0.500
Nd 0.333 0.667 0.678
Nd 0.667 0.333 0.322
Hg 0.000 0.000 0.247
Hg 0.000 0.000 0.753
Hg 0.333 0.667 0.416
Hg 0.333 0.667 0.921
Hg 0.667 0.333 0.079
Hg 0.667 0.333 0.584

Results
polymorph energy (0 for the lowest one): 0 kJ/mol of formula units
SG: P-3m1
energy relative to the elements: -2.456 eV/f.u.

=====

The following is a DFT calculation (PBE) of TaTcNi2 after structural relaxation.

abc: 9.290 9.290 9.290
angles: 157.39 157.39 32.19
Fractional coordinates of all 8 atoms:
Ta 0.000 0.000 0.000
Ta 0.750 0.250 0.500
Tc 0.250 0.750 0.500
Tc 0.500 0.500 0.000
Ni 0.133 0.625 0.008
Ni 0.375 0.383 0.508
Ni 0.617 0.125 0.992
Ni 0.875 0.867 0.492

Results
polymorph energy (0 for the lowest one): 224 kJ/mol of formula units
SG: I-42d
energy relative to the elements: 1.457 eV/f.u.